Record 1
# TbPm12Nd3

Crystalline TbPm12Nd3 at its relaxed geometry (PBE, Alexandria).

The structure belongs to space group P4/mmm (No. 123); the cell edges are 5.160, 5.160 and 20.631 Å and the angles 90.00°, 90.00° and 90.00°. The distinct sites, in fractional coordinates, are Tb at (0.000, 0.000, 0.000), Pm at (0.000, 0.500, 0.124), Pm at (0.000, 0.500, 0.374), Pm at (0.500, 0.500, 0.000), Pm at (0.500, 0.500, 0.249), Pm at (0.500, 0.500, 0.500), Nd at (0.000, 0.000, 0.249) and Nd at (0.000, 0.000, 0.500).

For the formation enthalpy at 0 K, the calculation gives 20 kJ/mol of formula units.



Record 2
# AlTe2Pt

Crystalline AlTe2Pt at its relaxed geometry (PBE, Alexandria).

The structure belongs to space group F-43m (No. 216); the cell edges are 7.035, 7.035 and 7.035 Å and the angles 90.00°, 90.00° and 90.00°. The distinct sites, in fractional coordinates, are Al at (0.000, 0.000, 0.000), Te at (0.000, 0.000, 0.500), Te at (0.250, 0.250, 0.750) and Pt at (0.250, 0.250, 0.250).

The calculation puts the total energy at -3.71 eV per atom.